This record from the Alexandria database describes a geometry-optimized LiCa2Ag2Pd5 structure. The functional is PBE.

Structure (POSCAR):
```
LiCa2Ag2Pd5
1.0
9.654 0.000 0.000
0.000 9.654 0.000
0.000 0.000 4.089
Li Ca Ag Pd
2 4 4 10
Cartesian
0.000 0.000 0.000
4.827 4.827 0.000
1.668 3.159 0.000
3.159 7.986 0.000
6.495 1.668 0.000
7.986 6.495 0.000
1.222 6.049 0.000
3.605 1.222 0.000
6.049 8.432 0.000
8.432 3.605 0.000
0.000 4.827 2.044
0.584 7.764 2.044
1.889 0.584 2.044
2.938 5.411 2.044
4.243 2.938 2.044
4.827 0.000 2.044
5.411 6.716 2.044
6.716 4.243 2.044
7.764 9.070 2.044
9.070 1.889 2.044
```

## Properties
V (Å³ per cell): 381.0
SG: P4/mbm (127)
Magnetic moment (μB per atom): 0.000
Raw total energy (eV per cell): -82.42